No. 1
Computed, not measured: a relaxed structure of NaDyNO at the PBE level of DFT.

Calculated values
- energy above the lowest structure with this stoichiometry (eV per atom) = 0.041
- M_tot (μB per formula unit) = 1.0
- energy (eV per cell) = -49.308
- crystal system = orthorhombic

The structure in POSCAR format:
```
NaDyNO
1.0
4.653 0.000 0.000
0.000 4.128 0.000
0.000 0.000 6.717
Na Dy N O
2 2 2 2
direct
0.250 0.000 0.177
0.750 0.000 0.823
0.250 0.500 0.685
0.750 0.500 0.315
0.250 0.000 0.827
0.750 0.000 0.173
0.250 0.500 0.359
0.750 0.500 0.641
```

No. 2
Computed, not measured: a relaxed structure of NaDyNO at the PBE level of DFT.

Calculated values
- energy above the lowest structure with this stoichiometry (eV per atom) = 0.028
- M_tot (μB per formula unit) = 1.0
- energy (eV per cell) = -49.412
- crystal system = tetragonal

The structure in POSCAR format:
```
NaDyNO
1.0
4.872 0.000 0.000
0.000 4.872 0.000
0.000 0.000 4.595
Na Dy N O
2 2 2 2
direct
0.250 0.250 0.001
0.750 0.750 0.999
0.250 0.750 0.500
0.750 0.250 0.500
0.250 0.250 0.501
0.750 0.750 0.499
0.250 0.750 0.000
0.750 0.250 0.000
```

No. 3
Computed, not measured: a relaxed structure of NaDyNO at the PBE level of DFT.

Calculated values
- energy above the lowest structure with this stoichiometry (eV per atom) = 0.000
- M_tot (μB per formula unit) = 1.0
- energy (eV per cell) = -49.638
- crystal system = orthorhombic

The structure in POSCAR format:
```
NaDyNO
1.0
4.707 0.000 0.000
0.000 3.783 0.000
0.000 0.000 7.311
Na Dy N O
2 2 2 2
direct
0.250 0.000 0.139
0.750 0.000 0.861
0.250 0.500 0.678
0.750 0.500 0.322
0.250 0.500 0.363
0.750 0.500 0.637
0.250 0.000 0.824
0.750 0.000 0.176
```

No. 4
Computed, not measured: a relaxed structure of NaDyNO at the PBE level of DFT.

Calculated values
- energy above the lowest structure with this stoichiometry (eV per atom) = 0.277
- M_tot (μB per formula unit) = 1.0
- energy (eV per cell) = -47.421
- crystal system = tetragonal

The structure in POSCAR format:
```
NaDyNO
1.0
3.771 0.000 0.000
0.000 3.771 0.000
0.000 0.000 8.151
Na Dy N O
2 2 2 2
direct
0.250 0.750 0.000
0.750 0.250 0.000
0.250 0.250 0.358
0.750 0.750 0.642
0.250 0.250 0.814
0.750 0.750 0.186
0.250 0.750 0.500
0.750 0.250 0.500
```